Compound: Tb3Er2Cd6
Source: the Alexandria database
Functional: GGA-PBE
Structure: relaxed

Properties
- DOS(E_F) (states/eV/atom) = 1.02
- energy relative to the elements (eV/atom) = 0.02

a = 4.120 Å, b = 4.120 Å, c = 37.087 Å
α = 90.00°, β = 90.00°, γ = 90.00°
Space group I4/mmm (No. 139)
Symmetry-distinct sites (fractional):
Tb (0.000, 0.000, 0.000) x2
Tb (0.000, 0.000, 0.187) x4
Er (0.000, 0.000, 0.366) x4
Cd (0.000, 0.000, 0.274) x4
Cd (0.000, 0.500, 0.067) x8

---

Compound: Li2Tl2SnCl6
Source: the Alexandria database
Functional: GGA-PBE
Structure: relaxed

Properties
- DOS(E_F) (states/eV/atom) = 0.00
- E_form (uncorrected) (eV per formula unit) = -13.6

a = 7.6099 Å, b = 7.6099 Å, c = 21.3795 Å
α = 90.00°, β = 90.00°, γ = 120.00°
Space group R-3m (No. 166, hexagonal axes)
Symmetry-distinct sites (fractional):
Li (0.0000, 0.0000, 0.0840) x6
Tl (0.0000, 0.0000, 0.3033) x6
Sn (0.0000, 0.0000, 0.5000) x3
Cl (0.0113, 0.5057, 0.2562) x18

---

Compound: Pm2HfMg
Source: the Alexandria database
Functional: GGA-PBE
Structure: relaxed

Properties
- DOS(E_F) (states/eV/atom) = 1.17
- energy relative to the elements (eV/atom) = 0.05
- relative energy among the computed polymorphs (meV per atom) = 0

a = 3.438 Å, b = 3.438 Å, c = 9.561 Å
α = 90.00°, β = 90.00°, γ = 90.00°
Space group P4/mmm (No. 123)
Symmetry-distinct sites (fractional):
Pm (0.000, 0.000, 0.243) x2
Hf (0.500, 0.500, 0.000) x1
Mg (0.500, 0.500, 0.500) x1